Here is crystalline LaTlRe2 at its relaxed geometry from Alexandria. Energies are from PBE.

Results
D(E_F): 1.14 states/eV per atom
excess energy over the best structure of this formula in the dataset: 0.658 eV per atom
ΔH_f (0 K): 0.85 eV per atom

abc: 3.064 4.445 6.491
angles: 90.00 90.00 90.00
Positions (direct):
La (0.000, 0.000, 0.000)
Tl (0.000, 0.000, 0.500)
Re (0.500, 0.500, 0.317)
Re (0.500, 0.500, 0.683)

Here is crystalline Ni14RhAu at its relaxed geometry from Alexandria. Energies are from PBE.

Results
D(E_F): 1.78 states/eV per atom
ΔH_f (0 K): 0.07 eV per atom

abc: 8.264 5.090 5.090
angles: 60.93 90.00 90.00
Positions (direct):
Ni (0.000, 0.000, 0.000)
Ni (0.000, 0.000, 0.498)
Ni (0.000, 0.498, 0.000)
Ni (0.000, 0.500, 0.500)
Ni (0.239, 0.174, 0.666)
Ni (0.239, 0.666, 0.174)
Ni (0.241, 0.665, 0.665)
Ni (0.246, 0.167, 0.167)
Ni (0.500, 0.336, 0.838)
Ni (0.500, 0.838, 0.336)
Ni (0.754, 0.167, 0.167)
Ni (0.759, 0.665, 0.665)
Ni (0.761, 0.174, 0.666)
Ni (0.761, 0.666, 0.174)
Rh (0.500, 0.338, 0.338)
Au (0.500, 0.837, 0.837)

Here is crystalline TiAuSe2 at its relaxed geometry from Alexandria. Energies are from PBE.

Results
raw formation energy: -0.150 eV per atom
D(E_F): 1.50 states/eV per atom
excess energy over the best structure of this formula in the dataset: 0.559 eV per atom

abc: 4.721 4.721 4.721
angles: 60.00 60.00 60.00
Positions (direct):
Ti (0.000, 0.000, 0.000)
Au (0.500, 0.500, 0.500)
Se (0.250, 0.250, 0.250)
Se (0.750, 0.750, 0.750)

Here is crystalline DyTmAl2S6 at its relaxed geometry from Alexandria. Energies are from PBE.

Results
raw formation energy: -1.518 eV per atom
D(E_F): 0.00 states/eV per atom

abc: 7.354 7.354 7.354
angles: 51.59 51.59 51.59
Positions (direct):
Dy (0.000, 0.000, 0.000)
Tm (0.500, 0.500, 0.500)
Al (0.326, 0.326, 0.326)
Al (0.674, 0.674, 0.674)
S (0.080, 0.705, 0.433)
S (0.295, 0.567, 0.920)
S (0.433, 0.080, 0.705)
S (0.567, 0.920, 0.295)
S (0.705, 0.433, 0.080)
S (0.920, 0.295, 0.567)

Here is crystalline ZnCo2Ni at its relaxed geometry from Alexandria. Energies are from PBE.

Results
D(E_F): 1.54 states/eV per atom
ΔH_f (0 K): 0.03 eV per atom

abc: 4.032 4.032 4.032
angles: 60.00 60.00 60.00
Positions (direct):
Zn (0.000, 0.000, 0.000)
Co (0.250, 0.250, 0.250)
Co (0.500, 0.500, 0.500)
Ni (0.750, 0.750, 0.750)

Here is crystalline TbH2ClO2 at its relaxed geometry from Alexandria. Energies are from PBE.

Results
D(E_F): 0.00 states/eV per atom
excess energy over the best structure of this formula in the dataset: 0.000 eV per atom

abc: 6.338 3.645 6.667
angles: 90.00 105.31 90.00
Positions (direct):
Tb (0.219, 0.250, 0.391)
Tb (0.781, 0.750, 0.609)
H (0.130, 0.250, 0.805)
H (0.376, 0.750, 0.734)
H (0.624, 0.250, 0.266)
H (0.870, 0.750, 0.195)
Cl (0.269, 0.750, 0.073)
Cl (0.731, 0.250, 0.927)
O (0.043, 0.250, 0.660)
O (0.396, 0.750, 0.593)
O (0.604, 0.250, 0.407)
O (0.957, 0.750, 0.340)

Here is crystalline Nd12MgRu6 at its relaxed geometry from Alexandria. Energies are from PBE.

Results
D(E_F): 0.87 states/eV per atom
ΔH_f (0 K): -0.15 eV per atom

abc: 8.839 8.839 8.839
angles: 109.47 109.47 109.47
Positions (direct):
Nd (0.103, 0.301, 0.802)
Nd (0.198, 0.498, 0.301)
Nd (0.198, 0.897, 0.699)
Nd (0.301, 0.198, 0.498)
Nd (0.301, 0.802, 0.103)
Nd (0.498, 0.301, 0.198)
Nd (0.502, 0.699, 0.802)
Nd (0.699, 0.198, 0.897)
Nd (0.699, 0.802, 0.502)
Nd (0.802, 0.103, 0.301)
Nd (0.802, 0.502, 0.699)
Nd (0.897, 0.699, 0.198)
Mg (0.000, 0.000, 0.000)
Ru (0.121, 0.500, 0.621)
Ru (0.379, 0.879, 0.500)
Ru (0.500, 0.379, 0.879)
Ru (0.500, 0.621, 0.121)
Ru (0.621, 0.121, 0.500)
Ru (0.879, 0.500, 0.379)

Here is crystalline KRbLiBi at its relaxed geometry from Alexandria. Energies are from PBE.

Results
D(E_F): 0.20 states/eV per atom
excess energy over the best structure of this formula in the dataset: 0.000 eV per atom
ΔH_f (0 K): -0.36 eV per atom

abc: 7.284 7.284 7.284
angles: 43.24 43.24 43.24
Positions (direct):
K (0.000, 0.000, 0.000)
Rb (0.200, 0.200, 0.200)
Li (0.755, 0.755, 0.755)
Bi (0.423, 0.423, 0.423)

Here is crystalline GaCuTe2C at its relaxed geometry from Alexandria. Energies are from PBE.

Results
raw formation energy: 0.701 eV per atom
D(E_F): 0.40 states/eV per atom
excess energy over the best structure of this formula in the dataset: 0.000 eV per atom

abc: 5.088 5.088 3.795
angles: 90.00 90.00 90.00
Positions (direct):
Ga (0.000, 0.000, 0.000)
Cu (0.500, 0.500, 0.000)
Te (0.000, 0.500, 0.500)
Te (0.500, 0.000, 0.500)
C (0.500, 0.500, 0.500)

Here is crystalline Ac6InPt3 at its relaxed geometry from Alexandria. Energies are from PBE.

Results
D(E_F): 0.93 states/eV per atom
ΔH_f (0 K): -0.79 eV per atom

abc: 12.905 4.436 13.161
angles: 90.00 108.06 90.00
Positions (direct):
Ac (0.020, 0.250, 0.384)
Ac (0.113, 0.250, 0.948)
Ac (0.211, 0.750, 0.260)
Ac (0.301, 0.750, 0.755)
Ac (0.358, 0.250, 0.530)
Ac (0.420, 0.750, 0.086)
Ac (0.580, 0.250, 0.914)
Ac (0.642, 0.750, 0.470)
Ac (0.699, 0.250, 0.245)
Ac (0.789, 0.250, 0.740)
Ac (0.887, 0.750, 0.052)
Ac (0.980, 0.750, 0.616)
In (0.445, 0.250, 0.305)
In (0.555, 0.750, 0.695)
Pt (0.046, 0.250, 0.160)
Pt (0.175, 0.750, 0.492)
Pt (0.345, 0.250, 0.917)
Pt (0.655, 0.750, 0.083)
Pt (0.825, 0.250, 0.508)
Pt (0.954, 0.750, 0.840)

Here is crystalline InI3 at its relaxed geometry from Alexandria. Energies are from PBE.

Results
raw formation energy: -0.380 eV per atom
D(E_F): 0.00 states/eV per atom

abc: 8.722 8.722 7.452
angles: 90.00 90.00 104.11
Positions (direct):
In (0.214, 0.786, 0.750)
In (0.786, 0.214, 0.250)
I (0.099, 0.332, 0.250)
I (0.332, 0.099, 0.750)
I (0.409, 0.591, 0.750)
I (0.591, 0.409, 0.250)
I (0.668, 0.901, 0.250)
I (0.901, 0.668, 0.750)

Here is crystalline TmZrRh at its relaxed geometry from Alexandria. Energies are from PBE.

Results
D(E_F): 1.34 states/eV per atom
excess energy over the best structure of this formula in the dataset: 0.099 eV per atom
ΔH_f (0 K): -0.50 eV per atom

abc: 6.030 6.030 6.030
angles: 147.32 147.32 46.88
Positions (direct):
Tm (0.000, 0.000, 0.000)
Zr (0.707, 0.707, 0.000)
Rh (0.340, 0.340, 0.000)

Here is crystalline La6Tb12In at its relaxed geometry from Alexandria. Energies are from PBE.

Results
D(E_F): 1.37 states/eV per atom
ΔH_f (0 K): 0.06 eV per atom

abc: 8.585 8.585 8.585
angles: 89.44 89.44 89.44
Positions (direct):
La (0.198, 0.765, 0.592)
La (0.235, 0.408, 0.802)
La (0.408, 0.802, 0.235)
La (0.592, 0.198, 0.765)
La (0.765, 0.592, 0.198)
La (0.802, 0.235, 0.408)
Tb (0.034, 0.937, 0.279)
Tb (0.063, 0.721, 0.966)
Tb (0.140, 0.482, 0.321)
Tb (0.279, 0.034, 0.937)
Tb (0.321, 0.140, 0.482)
Tb (0.482, 0.321, 0.140)
Tb (0.518, 0.679, 0.860)
Tb (0.679, 0.860, 0.518)
Tb (0.721, 0.966, 0.063)
Tb (0.860, 0.518, 0.679)
Tb (0.937, 0.279, 0.034)
Tb (0.966, 0.063, 0.721)
In (0.500, 0.500, 0.500)

Here is crystalline TlHSe3 at its relaxed geometry from Alexandria. Energies are from PBE.

Results
D(E_F): 0.53 states/eV per atom
excess energy over the best structure of this formula in the dataset: 0.527 eV per atom

abc: 5.562 5.562 5.562
angles: 90.00 90.00 90.00
Positions (direct):
Tl (0.000, 0.000, 0.000)
H (0.500, 0.500, 0.500)
Se (0.000, 0.000, 0.500)
Se (0.000, 0.500, 0.000)
Se (0.500, 0.000, 0.000)

Here is crystalline ZnTe2Pt at its relaxed geometry from Alexandria. Energies are from PBE.

Results
raw formation energy: -0.063 eV per atom
D(E_F): 0.39 states/eV per atom

abc: 3.654 3.668 7.468
angles: 90.00 90.00 90.00
Positions (direct):
Zn (0.000, 0.000, 0.000)
Te (0.000, 0.000, 0.369)
Te (0.500, 0.500, 0.850)
Pt (0.500, 0.500, 0.230)

Here is crystalline Pm2Tm6Zr at its relaxed geometry from Alexandria. Energies are from PBE.

Results
D(E_F): 1.43 states/eV per atom
excess energy over the best structure of this formula in the dataset: 0.004 eV per atom
ΔH_f (0 K): 0.12 eV per atom

abc: 9.981 9.981 5.856
angles: 96.65 96.65 70.31
Positions (direct):
Pm (0.071, 0.277, 0.064)
Pm (0.277, 0.071, 0.564)
Pm (0.723, 0.929, 0.436)
Pm (0.929, 0.723, 0.936)
Tm (0.084, 0.812, 0.484)
Tm (0.154, 0.442, 0.640)
Tm (0.188, 0.916, 0.016)
Tm (0.287, 0.508, 0.190)
Tm (0.442, 0.154, 0.140)
Tm (0.492, 0.713, 0.310)
Tm (0.508, 0.287, 0.690)
Tm (0.558, 0.846, 0.860)
Tm (0.713, 0.492, 0.810)
Tm (0.812, 0.084, 0.984)
Tm (0.846, 0.558, 0.360)
Tm (0.916, 0.188, 0.516)
Zr (0.373, 0.627, 0.750)
Zr (0.627, 0.373, 0.250)

Here is crystalline La2SmI at its relaxed geometry from Alexandria. Energies are from PBE.

Results
raw formation energy: -0.428 eV per atom
D(E_F): 1.32 states/eV per atom
excess energy over the best structure of this formula in the dataset: 0.000 eV per atom

abc: 11.217 11.217 11.217
angles: 19.96 19.96 19.96
Positions (direct):
La (0.000, 0.000, 0.000)
La (0.176, 0.176, 0.176)
Sm (0.755, 0.755, 0.755)
I (0.589, 0.589, 0.589)

Here is crystalline TlCr2Pt at its relaxed geometry from Alexandria. Energies are from PBE.

Results
D(E_F): 0.56 states/eV per atom
excess energy over the best structure of this formula in the dataset: 0.000 eV per atom
ΔH_f (0 K): 0.24 eV per atom

abc: 3.030 3.030 7.230
angles: 90.00 90.00 90.00
Positions (direct):
Tl (0.000, 0.000, 0.000)
Cr (0.000, 0.000, 0.476)
Cr (0.500, 0.500, 0.295)
Pt (0.500, 0.500, 0.706)

Here is crystalline Zr2TiMo at its relaxed geometry from Alexandria. Energies are from PBE.

Results
D(E_F): 1.85 states/eV per atom
excess energy over the best structure of this formula in the dataset: 0.007 eV per atom
ΔH_f (0 K): 0.06 eV per atom

abc: 4.797 4.797 4.797
angles: 60.00 60.00 60.00
Positions (direct):
Zr (0.250, 0.250, 0.250)
Zr (0.750, 0.750, 0.750)
Ti (0.000, 0.000, 0.000)
Mo (0.500, 0.500, 0.500)

Here is crystalline Na3AsCl6 at its relaxed geometry from Alexandria. Energies are from PBE.

Results
raw formation energy: -1.327 eV per atom
D(E_F): 0.00 states/eV per atom
excess energy over the best structure of this formula in the dataset: 0.000 eV per atom

abc: 6.790 7.224 12.132
angles: 90.00 123.83 90.00
Positions (direct):
Na (0.000, 0.000, 0.000)
Na (0.000, 0.500, 0.500)
Na (0.212, 0.083, 0.743)
Na (0.212, 0.417, 0.243)
Na (0.788, 0.583, 0.757)
Na (0.788, 0.917, 0.257)
As (0.500, 0.000, 0.500)
As (0.500, 0.500, 0.000)
Cl (0.134, 0.180, 0.435)
Cl (0.134, 0.320, 0.935)
Cl (0.255, 0.707, 0.423)
Cl (0.255, 0.793, 0.923)
Cl (0.407, 0.057, 0.269)
Cl (0.407, 0.443, 0.769)
Cl (0.593, 0.557, 0.231)
Cl (0.593, 0.943, 0.731)
Cl (0.745, 0.207, 0.077)
Cl (0.745, 0.293, 0.577)
Cl (0.866, 0.680, 0.065)
Cl (0.866, 0.820, 0.565)

Number 1: E -7.198 eV per atom. Number 2: E -5.648 eV per atom. Number 3: E -4.686 eV per atom. Number 4: E -5.650 eV per atom. Number 5: E -5.290 eV per atom. Number 6: E -5.957 eV per atom. Number 7: E -6.172 eV per atom. Number 8: E -2.323 eV per atom. Number 9: E -3.825 eV per atom. Number 10: E -5.346 eV per atom. Number 11: E -2.227 eV per atom. Number 12: E -7.290 eV per atom. Number 13: E -4.567 eV per atom. Number 14: E -2.151 eV per atom. Number 15: E -3.462 eV per atom. Number 16: E -4.871 eV per atom. Number 17: E -4.459 eV per atom. Number 18: E -6.671 eV per atom. Number 19: E -8.894 eV per atom. Number 20: E -3.296 eV per atom.